# 1
Entry from Alexandria via LeMat-Bulk: an optimized crystal structure of BeCr2Ag (PBE).

Summary:
Formation energy in meV/atom: 383
Space group: Immm

Cell: 3.0961 3.6659 8.5694 Å, 90.00 90.00 90.00°
Closest atoms and distances in Å follow each position.
Positions (direct):
1 Be 0.0000 0.0000 0.0000  4 Ag 2.40, 4 Cr 2.60
2 Be 0.5000 0.5000 0.5000  4 Ag 2.40, 4 Cr 2.60
3 Cr 0.0000 0.5000 0.2568  4 Cr 2.40, 2 Be 2.60
4 Cr 0.0000 0.5000 0.7432  4 Cr 2.40, 2 Be 2.60
5 Cr 0.5000 0.0000 0.2432  4 Cr 2.40, 2 Be 2.60
6 Cr 0.5000 0.0000 0.7568  4 Cr 2.40, 2 Be 2.60
7 Ag 0.0000 0.0000 0.5000  4 Be 2.40
8 Ag 0.5000 0.5000 0.0000  4 Be 2.40

***

# 2
Entry from Alexandria via LeMat-Bulk: an optimized crystal structure of PmScPS (PBE).

Summary:
Formation energy without anion corrections in kcal/mol of atoms: -39.2
Space group: R3m

Cell: 3.8354 3.8354 20.1758 Å, 90.00 90.00 120.00°
Closest atoms and distances in Å follow each position.
Positions (direct):
1 Pm 0.0000 0.0000 0.0000  3 P 2.83, 3 S 2.95
2 Pm 0.3333 0.6667 0.6667  3 P 2.83, 3 S 2.95
3 Pm 0.6667 0.3333 0.3333  3 P 2.83, 3 S 2.95
4 Sc 0.0000 0.0000 0.8223  3 P 2.61, 3 S 2.75
5 Sc 0.3333 0.6667 0.4890  3 P 2.61, 3 S 2.75
6 Sc 0.6667 0.3333 0.1556  3 P 2.61, 3 S 2.75
7 P 0.0000 0.0000 0.4205  3 Sc 2.61, 3 Pm 2.83
8 P 0.3333 0.6667 0.0872  3 Sc 2.61, 3 Pm 2.83
9 P 0.6667 0.3333 0.7539  3 Sc 2.61, 3 Pm 2.83
10 S 0.0000 0.0000 0.2364  3 Sc 2.75, 3 Pm 2.95
11 S 0.3333 0.6667 0.9031  3 Sc 2.75, 3 Pm 2.95
12 S 0.6667 0.3333 0.5698  3 Sc 2.75, 3 Pm 2.95